An optimized crystal structure of NaScCdTe3, computed with PBE.

CIF file:
```
data_NaScCdTe3
_symmetry_space_group_name_H-M 'P 1'
_symmetry_Int_Tables_number 1
_cell_length_a 8.604
_cell_length_b 4.334
_cell_length_c 10.673
_cell_angle_alpha 90.00
_cell_angle_beta 106.74
_cell_angle_gamma 90.00
loop_
_symmetry_equiv_pos_as_xyz
'x,y,z'
loop_
_atom_site_label
_atom_site_type_symbol
_atom_site_fract_x
_atom_site_fract_y
_atom_site_fract_z
Na1 Na 0.200 0.250 0.195
Na2 Na 0.800 0.750 0.805
Sc1 Sc 0.327 0.750 0.857
Sc2 Sc 0.673 0.250 0.143
Cd1 Cd 0.079 0.250 0.603
Cd2 Cd 0.921 0.750 0.397
Te1 Te 0.090 0.250 0.867
Te2 Te 0.269 0.750 0.554
Te3 Te 0.442 0.750 0.143
Te4 Te 0.558 0.250 0.857
Te5 Te 0.731 0.250 0.446
Te6 Te 0.910 0.750 0.133
```

Summary:
E above lowest polymorph   0.0000 eV/atom
Volume   31.8 Å³/atom